This record from the Open Quantum Materials Database describes crystalline LaPr2Ni9 at its relaxed geometry. The functional is PBE.

The space group is R-3m (No. 166, hexagonal axes) and the conventional cell measures 5.0474, 5.0474 and 24.8267 Å, with angles of 90.00, 90.00 and 120.00 degrees. The asymmetric unit holds La at (0.0000, 0.0000, 0.0000), Pr at (0.0000, 0.0000, 0.1386), Ni at (0.0000, 0.0000, 0.3325), Ni at (0.0000, 0.0000, 0.5000) and Ni at (0.0013, 0.5006, 0.0809).

The calculation puts the density at 8.63 g/cm³. For the energy of formation from the pure elements, the calculation gives -3.661 eV per formula unit. The value obtained for the calculated volume is 182.59 Å³/f.u.